# Na4CoPd3O8 (GGA+U, relaxed)
# - size of the total moment (μB per formula unit) = 0.72
# - electronic total energy (eV per cell) = -80.708
data_Na4CoPd3O8
_chemical_formula_sum 'Na4 Co1 Pd3 O8'
_cell_length_a 6.564
_cell_length_b 6.564
_cell_length_c 6.157
_cell_angle_alpha 115.71
_cell_angle_beta 115.71
_cell_angle_gamma 54.52
_symmetry_space_group_name_H-M 'P 1'
_symmetry_Int_Tables_number 1
loop_
_symmetry_equiv_pos_as_xyz
'x,y,z'
loop_
_atom_site_label
_atom_site_fract_x
_atom_site_fract_y
_atom_site_fract_z
_atom_site_occupancy
Na1 0.000 0.000 0.000 1
Na2 0.000 0.500 0.500 1
Na3 0.500 0.000 0.500 1
Na4 0.500 0.500 0.000 1
Co1 0.000 0.000 0.500 1
Pd1 0.000 0.500 0.000 1
Pd2 0.500 0.000 0.000 1
Pd3 0.500 0.500 0.500 1
O1 0.193 0.193 0.738 1
O2 0.216 0.738 0.687 1
O3 0.262 0.784 0.313 1
O4 0.299 0.299 0.255 1
O5 0.701 0.701 0.745 1
O6 0.738 0.216 0.687 1
O7 0.784 0.262 0.313 1
O8 0.807 0.807 0.262 1